The following is a PBE calculation of a relaxed LiSmTh crystal, from Alexandria via LeMat-Bulk.

## Properties
**Space group**: P4/nmm, No. 129
**Relative energy among the computed polymorphs**: 0 meV/atom

abc: 3.6237 3.6237 13.0655
angles: 90.00 90.00 90.00
Sites, in units of the cell vectors:
Li 0.2500 0.2500 0.0506
Li 0.7500 0.7500 0.9494
Sm 0.2500 0.2500 0.7803
Sm 0.7500 0.7500 0.2197
Th 0.2500 0.2500 0.4087
Th 0.7500 0.7500 0.5913

The following is a PBE calculation of a relaxed Li2SmTh crystal, from Alexandria via LeMat-Bulk.

## Properties
**Space group**: P4/mmm, No. 123
**Relative energy among the computed polymorphs**: 0 meV/atom

abc: 3.6884 3.6884 7.5151
angles: 90.00 90.00 90.00
Sites, in units of the cell vectors:
Li 0.0000 0.0000 0.2489
Li 0.0000 0.0000 0.7511
Sm 0.5000 0.5000 0.0000
Th 0.5000 0.5000 0.5000

The following is a PBE calculation of a relaxed LiSmTh crystal, from Alexandria via LeMat-Bulk.

## Properties
**Space group**: P3m1, No. 156
**Relative energy among the computed polymorphs**: 91 meV/atom

abc: 3.5063 3.5063 8.4989
angles: 90.00 90.00 120.00
Sites, in units of the cell vectors:
Li 0.0000 0.0000 0.0000
Sm 0.3333 0.6667 0.6685
Th 0.6667 0.3333 0.3290

The following is a PBE calculation of a relaxed Li2Sm2ThTl2 crystal, from Alexandria via LeMat-Bulk.

## Properties
**Space group**: R-3m, No. 166

abc: 9.4812 9.4812 9.4812
angles: 29.94 29.94 29.94
Sites, in units of the cell vectors:
Li 0.0991 0.0991 0.0991
Li 0.9009 0.9009 0.9009
Sm 0.3722 0.3722 0.3722
Sm 0.6278 0.6278 0.6278
Th 0.5000 0.5000 0.5000
Tl 0.2358 0.2358 0.2358
Tl 0.7642 0.7642 0.7642

The following is a PBE calculation of a relaxed LiSmThZn crystal, from Alexandria via LeMat-Bulk.

## Properties
**Space group**: F-43m, No. 216

abc: 5.1956 5.1956 5.1956
angles: 60.00 60.00 60.00
Sites, in units of the cell vectors:
Li 0.0000 0.0000 0.0000
Sm 0.7500 0.7500 0.7500
Th 0.2500 0.2500 0.2500
Zn 0.5000 0.5000 0.5000

The following is a PBE calculation of a relaxed LiSm2Ti crystal, from Alexandria via LeMat-Bulk.

## Properties
**Space group**: P4/mmm, No. 123
**Relative energy among the computed polymorphs**: 0 meV/atom

abc: 3.4741 3.4741 8.6982
angles: 90.00 90.00 90.00
Sites, in units of the cell vectors:
Li 0.0000 0.0000 0.0000
Sm 0.5000 0.5000 0.2661
Sm 0.5000 0.5000 0.7339
Ti 0.0000 0.0000 0.5000

The following is a PBE calculation of a relaxed LiSm2Ti crystal, from Alexandria via LeMat-Bulk.

## Properties
**Space group**: R-3m, No. 166
**Relative energy among the computed polymorphs**: 295 meV/atom

abc: 11.8330 11.8330 11.8330
angles: 15.78 15.78 15.78
Sites, in units of the cell vectors:
Li 0.0000 0.0000 0.0000
Sm 0.4166 0.4166 0.4166
Sm 0.5834 0.5834 0.5834
Ti 0.5000 0.5000 0.5000

The following is a PBE calculation of a relaxed LiSmTi crystal, from Alexandria via LeMat-Bulk.

## Properties
**Space group**: P4/nmm, No. 129

abc: 3.6033 3.6033 10.9417
angles: 90.00 90.00 90.00
Sites, in units of the cell vectors:
Li 0.2500 0.2500 0.0639
Li 0.7500 0.7500 0.9361
Sm 0.2500 0.2500 0.7322
Sm 0.7500 0.7500 0.2678
Ti 0.2500 0.2500 0.4500
Ti 0.7500 0.7500 0.5500

The following is a PBE calculation of a relaxed LiSm12Tl3 crystal, from Alexandria via LeMat-Bulk.

## Properties
**Space group**: P4/mmm, No. 123

abc: 4.9525 4.9525 19.8036
angles: 90.00 90.00 90.00
Sites, in units of the cell vectors:
Li 0.0000 0.0000 0.0000
Sm 0.0000 0.5000 0.1259
Sm 0.0000 0.5000 0.3746
Sm 0.0000 0.5000 0.6254
Sm 0.0000 0.5000 0.8741
Sm 0.5000 0.0000 0.1259
Sm 0.5000 0.0000 0.3746
Sm 0.5000 0.0000 0.6254
Sm 0.5000 0.0000 0.8741
Sm 0.5000 0.5000 0.0000
Sm 0.5000 0.5000 0.2480
Sm 0.5000 0.5000 0.5000
Sm 0.5000 0.5000 0.7520
Tl 0.0000 0.0000 0.2510
Tl 0.0000 0.0000 0.5000
Tl 0.0000 0.0000 0.7490

The following is a PBE calculation of a relaxed Li3Sm2Tl3 crystal, from Alexandria via LeMat-Bulk.

## Properties
**Space group**: R3m, No. 160

abc: 8.9920 8.9920 8.9920
angles: 33.49 33.49 33.49
Sites, in units of the cell vectors:
Li 0.0000 0.0000 0.0000
Li 0.1256 0.1256 0.1256
Li 0.6254 0.6254 0.6254
Sm 0.3792 0.3792 0.3792
Sm 0.8734 0.8734 0.8734
Tl 0.2574 0.2574 0.2574
Tl 0.5019 0.5019 0.5019
Tl 0.7447 0.7447 0.7447

The following is a PBE calculation of a relaxed Li4Sm2Tl3 crystal, from Alexandria via LeMat-Bulk.

## Properties
**Space group**: Cmce, No. 64

abc: 8.9371 8.9371 7.4155
angles: 90.00 90.00 136.03
Sites, in units of the cell vectors:
Li 0.1665 0.8335 0.9970
Li 0.1946 0.3054 0.7500
Li 0.3054 0.1946 0.2500
Li 0.3335 0.6665 0.4970
Li 0.6665 0.3335 0.5030
Li 0.6946 0.8054 0.7500
Li 0.8054 0.6946 0.2500
Li 0.8335 0.1665 0.0030
Sm 0.1134 0.8866 0.5781
Sm 0.3866 0.6134 0.0781
Sm 0.6134 0.3866 0.9219
Sm 0.8866 0.1134 0.4219
Tl 0.0000 0.0000 0.0000
Tl 0.0140 0.4860 0.7500
Tl 0.4860 0.0140 0.2500
Tl 0.5000 0.5000 0.5000
Tl 0.5140 0.9860 0.7500
Tl 0.9860 0.5140 0.2500

The following is a PBE calculation of a relaxed Li3Sm2Tl2 crystal, from Alexandria via LeMat-Bulk.

## Properties
**Space group**: C2/m, No. 12

abc: 5.9252 5.9252 6.7386
angles: 106.01 106.01 49.04
Sites, in units of the cell vectors:
Li 0.0000 0.0000 0.0000
Li 0.1055 0.1055 0.4269
Li 0.8945 0.8945 0.5731
Sm 0.3503 0.3503 0.2301
Sm 0.6497 0.6497 0.7699
Tl 0.3492 0.3492 0.7526
Tl 0.6508 0.6508 0.2474

Sequential DOS(E_F) output: 7.8, 4.4, 2.2, 6.5, 3.3, 4.3, 5.0, 7.3, 24.8, 3.5, 10.5, 4.8 states/eV/cell
Sequential total magnetization output: 0.000, 0.000, 0.000, 0.000, 0.000, 0.000, 0.336, 0.001, 0.001, 0.000, 0.000, 0.000 μB/atom
Sequential calculated formation energy output: 4.51, 21.48, 13.27, -11.34, -2.04, 16.84, 45.27, 11.12, -9.84, -26.76, -18.20, -22.55 kJ/mol of atoms